# 1
Below is an optimized crystal structure of CaPaAl2O8, with properties calculated at the GGA-PBE level.

Properties
**E_form (uncorrected)**: -2.48 eV per atom

CIF file:
```
data_CaPaAl2O8
_space_group_name_H-M_alt 'P 1'
_space_group_IT_number 1
_space_group_name_Hall 'P 1'
_cell_length_a 5.9856
_cell_length_b 5.9856
_cell_length_c 5.9856
_cell_angle_alpha 107.35
_cell_angle_beta 107.35
_cell_angle_gamma 113.79
loop_
_atom_site_label
_atom_site_fract_x
_atom_site_fract_y
_atom_site_fract_z
Ca1 0.0000 0.0000 0.0000
Pa1 0.2500 0.7500 0.5000
Al1 0.5000 0.5000 0.0000
Al2 0.7500 0.2500 0.5000
O1 0.3346 0.1356 0.8009
O2 0.3346 0.5337 0.1991
O3 0.3831 0.0640 0.3192
O4 0.4663 0.6654 0.8009
O5 0.7448 0.0640 0.6808
O6 0.8644 0.6654 0.1991
O7 0.9360 0.2552 0.3192
O8 0.9360 0.6169 0.6808
```

---

# 2
Below is an optimized crystal structure of CaAl2PdO, with properties calculated at the GGA-PBE level.

Properties
**E_form (uncorrected)**: -0.92 eV per atom

CIF file:
```
data_CaAl2PdO
_space_group_name_H-M_alt 'P 1'
_space_group_IT_number 1
_space_group_name_Hall 'P 1'
_cell_length_a 4.1428
_cell_length_b 4.1428
_cell_length_c 4.5827
_cell_angle_alpha 90.00
_cell_angle_beta 90.00
_cell_angle_gamma 90.00
loop_
_atom_site_label
_atom_site_fract_x
_atom_site_fract_y
_atom_site_fract_z
Ca1 0.0000 0.0000 0.0000
Al1 0.0000 0.5000 0.5000
Al2 0.5000 0.0000 0.5000
Pd1 0.5000 0.5000 0.0000
O1 0.0000 0.0000 0.5000
```

---

# 3
Below is an optimized crystal structure of CaAlPdO4, with properties calculated at the GGA-PBE level.

Properties
**E_form (uncorrected)**: -1.84 eV per atom

CIF file:
```
data_CaAlPdO4
_space_group_name_H-M_alt 'P 1'
_space_group_IT_number 1
_space_group_name_Hall 'P 1'
_cell_length_a 5.3907
_cell_length_b 5.3907
_cell_length_c 6.8652
_cell_angle_alpha 90.00
_cell_angle_beta 90.00
_cell_angle_gamma 112.28
loop_
_atom_site_label
_atom_site_fract_x
_atom_site_fract_y
_atom_site_fract_z
Ca1 0.0000 0.0000 0.0000
Ca2 0.0000 0.0000 0.5000
Al1 0.3773 0.6227 0.7500
Al2 0.6227 0.3773 0.2500
Pd1 0.3065 0.6935 0.2500
Pd2 0.6935 0.3065 0.7500
O1 0.2649 0.2674 0.7500
O2 0.2674 0.2649 0.2500
O3 0.2670 0.7330 0.5342
O4 0.2670 0.7330 0.9658
O5 0.7330 0.2670 0.0342
O6 0.7330 0.2670 0.4658
O7 0.7326 0.7351 0.7500
O8 0.7351 0.7326 0.2500
```

---

# 4
Below is an optimized crystal structure of CaPm2AlO6, with properties calculated at the GGA-PBE level.

Properties
**E_form (uncorrected)**: -2.81 eV per atom

CIF file:
```
data_CaPm2AlO6
_space_group_name_H-M_alt 'P 1'
_space_group_IT_number 1
_space_group_name_Hall 'P 1'
_cell_length_a 5.3037
_cell_length_b 5.3037
_cell_length_c 5.1700
_cell_angle_alpha 90.00
_cell_angle_beta 90.00
_cell_angle_gamma 90.00
loop_
_atom_site_label
_atom_site_fract_x
_atom_site_fract_y
_atom_site_fract_z
Ca1 0.0000 0.0000 0.0000
Pm1 0.0000 0.5000 0.4445
Pm2 0.5000 0.0000 0.4445
Al1 0.5000 0.5000 0.0407
O1 0.0000 0.0000 0.5721
O2 0.2695 0.2695 0.1748
O3 0.2695 0.7305 0.1748
O4 0.5000 0.5000 0.6909
O5 0.7305 0.2695 0.1748
O6 0.7305 0.7305 0.1748
```

---

# 5
Below is an optimized crystal structure of Ca2PrAlO, with properties calculated at the GGA-PBE level.

Properties
**E_form (uncorrected)**: -1.30 eV per atom

CIF file:
```
data_Ca2PrAlO
_space_group_name_H-M_alt 'P 1'
_space_group_IT_number 1
_space_group_name_Hall 'P 1'
_cell_length_a 4.7967
_cell_length_b 4.7967
_cell_length_c 5.0765
_cell_angle_alpha 90.00
_cell_angle_beta 90.00
_cell_angle_gamma 90.00
loop_
_atom_site_label
_atom_site_fract_x
_atom_site_fract_y
_atom_site_fract_z
Ca1 0.0000 0.5000 0.0000
Ca2 0.5000 0.0000 0.0000
Pr1 0.0000 0.0000 0.5000
Al1 0.5000 0.5000 0.5000
O1 0.0000 0.0000 0.0000
```

---

# 6
Below is an optimized crystal structure of CaPrAlO4, with properties calculated at the GGA-PBE level.

Properties
**E_form (uncorrected)**: -3.15 eV per atom

CIF file:
```
data_CaPrAlO4
_space_group_name_H-M_alt 'P 1'
_space_group_IT_number 1
_space_group_name_Hall 'P 1'
_cell_length_a 6.6959
_cell_length_b 6.6959
_cell_length_c 6.6959
_cell_angle_alpha 147.77
_cell_angle_beta 147.77
_cell_angle_gamma 46.23
loop_
_atom_site_label
_atom_site_fract_x
_atom_site_fract_y
_atom_site_fract_z
Ca1 0.0000 0.0000 0.0000
Pr1 0.7150 0.7150 0.0000
Al1 0.3678 0.3678 0.0000
O1 0.1882 0.1882 0.0000
O2 0.3551 0.8551 0.5000
O3 0.5224 0.5224 0.0000
O4 0.8551 0.3551 0.5000
```

---

# 7
Below is an optimized crystal structure of CaAlPtO6, with properties calculated at the GGA-PBE level.

Properties
**E_form (uncorrected)**: -1.57 eV per atom

CIF file:
```
data_CaAlPtO6
_space_group_name_H-M_alt 'P 1'
_space_group_IT_number 1
_space_group_name_Hall 'P 1'
_cell_length_a 5.0885
_cell_length_b 5.0885
_cell_length_c 10.1435
_cell_angle_alpha 90.00
_cell_angle_beta 90.00
_cell_angle_gamma 120.00
loop_
_atom_site_label
_atom_site_fract_x
_atom_site_fract_y
_atom_site_fract_z
Ca1 0.0000 0.0000 0.0000
Ca2 0.0000 0.0000 0.5000
Al1 0.3333 0.6667 0.2500
Al2 0.6667 0.3333 0.7500
Pt1 0.3333 0.6667 0.7500
Pt2 0.6667 0.3333 0.2500
O1 0.0082 0.3668 0.1474
O2 0.0082 0.6414 0.3526
O3 0.3586 0.3668 0.3526
O4 0.3586 0.9918 0.1474
O5 0.3668 0.0082 0.6474
O6 0.3668 0.3586 0.8526
O7 0.6332 0.6414 0.1474
O8 0.6332 0.9918 0.3526
O9 0.6414 0.0082 0.8526
O10 0.6414 0.6332 0.6474
O11 0.9918 0.3586 0.6474
O12 0.9918 0.6332 0.8526
```

---

# 8
Below is an optimized crystal structure of CaAlPtO4, with properties calculated at the GGA-PBE level.

Properties
**E_form (uncorrected)**: -1.80 eV per atom

CIF file:
```
data_CaAlPtO4
_space_group_name_H-M_alt 'P 1'
_space_group_IT_number 1
_space_group_name_Hall 'P 1'
_cell_length_a 5.3528
_cell_length_b 5.3528
_cell_length_c 6.9059
_cell_angle_alpha 90.00
_cell_angle_beta 90.00
_cell_angle_gamma 111.73
loop_
_atom_site_label
_atom_site_fract_x
_atom_site_fract_y
_atom_site_fract_z
Ca1 0.0000 0.0000 0.0000
Ca2 0.0000 0.0000 0.5000
Al1 0.3768 0.6232 0.7500
Al2 0.6232 0.3768 0.2500
Pt1 0.2967 0.7033 0.2500
Pt2 0.7033 0.2967 0.7500
O1 0.2642 0.2667 0.7500
O2 0.2667 0.2642 0.2500
O3 0.2679 0.7321 0.5330
O4 0.2679 0.7321 0.9670
O5 0.7321 0.2679 0.0330
O6 0.7321 0.2679 0.4670
O7 0.7333 0.7358 0.7500
O8 0.7358 0.7333 0.2500
```

---

# 9
Below is an optimized crystal structure of CaAlPtO2, with properties calculated at the GGA-PBE level.

Properties
**E_form (uncorrected)**: 0.08 eV per atom

CIF file:
```
data_CaAlPtO2
_space_group_name_H-M_alt 'P 1'
_space_group_IT_number 1
_space_group_name_Hall 'P 1'
_cell_length_a 4.1401
_cell_length_b 4.1401
_cell_length_c 5.3456
_cell_angle_alpha 90.00
_cell_angle_beta 90.00
_cell_angle_gamma 90.00
loop_
_atom_site_label
_atom_site_fract_x
_atom_site_fract_y
_atom_site_fract_z
Ca1 0.0000 0.0000 0.0000
Al1 0.5000 0.5000 0.0000
Pt1 0.0000 0.0000 0.5000
O1 0.0000 0.5000 0.5000
O2 0.5000 0.0000 0.5000
```

---

Q: Which value of E_form (uncorrected) does entry 5 give?
A: -1.30 eV per atom

---

Q: What is the formula in the first record?
A: CaPaAl2O8

---

Q: Look up the E_form (uncorrected) of the first one.
A: -2.48 eV per atom